Entry 1:
This record from Alexandria via LeMat-Bulk describes a crystal of MgReSb2 relaxed with PBEsol. The functional is SCAN.

Lattice parameters (Å, degrees): 3.259 5.325 10.024 90.00 90.00 90.00
Space group Cmmm (No. 65)
Unique sites:
Mg  0.000  0.000  0.000
Re  0.000  0.000  0.500
Sb  0.000  0.500  0.285

Output
energy = -37.05 eV per atom
magnetization = 0.00 μB/f.u.


Entry 2:
This record from Alexandria via LeMat-Bulk describes a crystal of TlCr3Bi relaxed with PBEsol. The functional is SCAN.

Lattice parameters (Å, degrees): 5.226 5.226 5.226 90.00 90.00 90.00
Space group Pm-3m (No. 221)
Unique sites:
Tl  0.000  0.000  0.000
Cr  0.000  0.500  0.500
Bi  0.500  0.500  0.500

Output
energy = -40.29 eV per atom
magnetization = 13.56 μB/f.u.